1.
A relaxed YSbRh2 crystal, computed with PBE-GGA.

Cell lengths 5.6567, 5.6567, 5.6567 Å; angles 45.87, 45.87, 45.87 degrees
Closest atoms and distances in Å follow each position.
Element x y z (fractional)
1 Y 0.0000 0.0000 0.0000  4 Sb 3.12-3.20, 7 Rh 3.15-3.20
2 Sb 0.2057 0.2057 0.2057  6 Rh 2.81-2.84, 1 Y 3.12
3 Rh 0.4599 0.4599 0.4599  3 Rh 2.55, 3 Sb 2.81
4 Rh 0.7887 0.7887 0.7887  3 Rh 2.55, 3 Sb 2.84

- Energy: -6.8782 eV per atom


2.
A relaxed Bi2PdPb crystal, computed with PBE-GGA.

Cell lengths 7.3505, 7.3505, 7.3505 Å; angles 35.16, 35.16, 35.16 degrees
Closest atoms and distances in Å follow each position.
Element x y z (fractional)
1 Bi 0.0000 0.0000 0.0000  3 Pd 2.82
2 Bi 0.2139 0.2139 0.2139  3 Pd 2.88
3 Pd 0.6102 0.6102 0.6102  6 Bi 2.82-2.88
4 Pb 0.7689 0.7689 0.7689  1 Pd 3.28, 6 Bi 3.32-3.45

- Energy of formation from the pure elements: -9.15 kJ per mole of atoms


3.
A relaxed Er2Si3Rh crystal, computed with PBE-GGA.

Cell lengths 8.1431, 8.1431, 7.7954 Å; angles 90.00, 90.00, 120.00 degrees
Closest atoms and distances in Å follow each position.
Element x y z (fractional)
1 Er 0.0000 0.0000 0.2500  12 Si 3.05-3.06
2 Er 0.0000 0.0000 0.7500  12 Si 3.05-3.06
3 Er 0.0178 0.5089 0.2500  4 Rh 3.00-3.13, 8 Si 3.01-3.10
4 Er 0.4911 0.5089 0.2500  4 Rh 3.00-3.13, 8 Si 3.01-3.10
5 Er 0.4911 0.9822 0.2500  4 Rh 3.00-3.13, 8 Si 3.01-3.10
6 Er 0.5089 0.0178 0.7500  4 Rh 3.00-3.13, 8 Si 3.01-3.10
7 Er 0.5089 0.4911 0.7500  4 Rh 3.00-3.13, 8 Si 3.01-3.10
8 Er 0.9822 0.4911 0.7500  4 Rh 3.00-3.13, 8 Si 3.01-3.10
9 Si 0.1667 0.3334 0.5010  2 Si 2.35, 1 Rh 2.36
10 Si 0.1667 0.3334 0.9990  2 Si 2.35, 1 Rh 2.36
11 Si 0.1667 0.8333 0.5010  2 Si 2.35, 1 Rh 2.36
12 Si 0.1667 0.8333 0.9990  2 Si 2.35, 1 Rh 2.36
13 Si 0.3334 0.1667 0.0010  2 Si 2.35, 1 Rh 2.36
14 Si 0.3334 0.1667 0.4990  2 Si 2.35, 1 Rh 2.36
15 Si 0.6666 0.8333 0.5010  2 Si 2.35, 1 Rh 2.36
16 Si 0.6666 0.8333 0.9990  2 Si 2.35, 1 Rh 2.36
17 Si 0.8333 0.1667 0.0010  2 Si 2.35, 1 Rh 2.36
18 Si 0.8333 0.1667 0.4990  2 Si 2.35, 1 Rh 2.36
19 Si 0.8333 0.6666 0.0010  2 Si 2.35, 1 Rh 2.36
20 Si 0.8333 0.6666 0.4990  2 Si 2.35, 1 Rh 2.36
21 Rh 0.3333 0.6667 0.5322  3 Si 2.36
22 Rh 0.3333 0.6667 0.9678  3 Si 2.36
23 Rh 0.6667 0.3333 0.0322  3 Si 2.36
24 Rh 0.6667 0.3333 0.4678  3 Si 2.36

- Energy: -6.3854 eV per atom


4.
A relaxed Nd2NpCuTe5 crystal, computed with PBE-GGA.

Cell lengths 9.7876, 9.7876, 13.0889 Å; angles 90.00, 90.00, 154.49 degrees
Closest atoms and distances in Å follow each position.
Element x y z (fractional)
1 Nd 0.1091 0.8909 0.5000  8 Te 3.28-3.42
2 Nd 0.1243 0.8757 0.1222  7 Te 3.22-3.54
3 Nd 0.8757 0.1243 0.6222  7 Te 3.22-3.54
4 Nd 0.8909 0.1091 0.0000  8 Te 3.28-3.42
5 Np 0.1947 0.8053 0.8247  6 Te 2.98-3.15, 2 Cu 3.27
6 Np 0.8053 0.1947 0.3247  6 Te 2.98-3.15, 2 Cu 3.27
7 Cu 0.4288 0.5712 0.2734  4 Te 2.62-2.68
8 Cu 0.5712 0.4288 0.7734  4 Te 2.62-2.68
9 Te 0.0432 0.9568 0.8792  2 Cu 2.62
10 Te 0.2882 0.7118 0.4894  2 Np 3.07, 3 Nd 3.24-3.42
11 Te 0.3138 0.6862 0.1565  1 Cu 2.68
12 Te 0.3593 0.6407 0.8154  1 Np 3.15, 4 Nd 3.30-3.34
13 Te 0.5001 0.4999 0.1017  1 Cu 2.63
14 Te 0.4999 0.5001 0.6017  1 Cu 2.63
15 Te 0.6407 0.3593 0.3154  1 Np 3.15, 4 Nd 3.30-3.34
16 Te 0.6862 0.3138 0.6565  1 Cu 2.68
17 Te 0.7118 0.2882 0.9894  2 Np 3.07, 3 Nd 3.24-3.42
18 Te 0.9568 0.0432 0.3792  2 Cu 2.62

- Energy: -5.6750 eV per atom


5.
A relaxed Pu2Ge4Pt3 crystal, computed with PBE-GGA.

Cell lengths 8.1033, 8.1033, 7.6835 Å; angles 90.00, 90.00, 138.72 degrees
Closest atoms and distances in Å follow each position.
Element x y z (fractional)
1 Pu 0.1048 0.8952 0.9110  8 Ge 3.05-3.39, 4 Pt 3.18-3.34
2 Pu 0.3952 0.6048 0.4110  8 Ge 3.05-3.39, 4 Pt 3.18-3.34
3 Pu 0.6048 0.3952 0.5890  8 Ge 3.05-3.39, 4 Pt 3.18-3.34
4 Pu 0.8952 0.1048 0.0890  8 Ge 3.05-3.39, 4 Pt 3.18-3.34
5 Ge 0.1798 0.8202 0.5290  5 Pt 2.64-2.74
6 Ge 0.1915 0.3085 0.7500  3 Pt 2.54-2.55
7 Ge 0.3085 0.1915 0.2500  3 Pt 2.54-2.55
8 Ge 0.3202 0.6798 0.0290  5 Pt 2.64-2.74
9 Ge 0.6798 0.3202 0.9710  5 Pt 2.64-2.74
10 Ge 0.6915 0.8085 0.7500  3 Pt 2.54-2.55
11 Ge 0.8085 0.6915 0.2500  3 Pt 2.54-2.55
12 Ge 0.8202 0.1798 0.4710  5 Pt 2.64-2.74
13 Pt 0.0000 0.0000 0.5000  6 Ge 2.55-2.74
14 Pt 0.0237 0.4763 0.7500  5 Ge 2.54-2.67
15 Pt 0.4763 0.0237 0.2500  5 Ge 2.54-2.67
16 Pt 0.5000 0.5000 0.0000  6 Ge 2.55-2.74
17 Pt 0.5237 0.9763 0.7500  5 Ge 2.54-2.67
18 Pt 0.9763 0.5237 0.2500  5 Ge 2.54-2.67

- Energy of formation from the pure elements: -62.36 kJ per mole of atoms


6.
A relaxed Ac2Pm8Pr crystal, computed with PBE-GGA.

Cell lengths 10.6691, 10.6691, 5.7470 Å; angles 93.01, 93.01, 39.28 degrees
Closest atoms and distances in Å follow each position.
Element x y z (fractional)
1 Ac 0.2183 0.2183 0.2562  11 Pm 3.50-3.85
2 Ac 0.7817 0.7817 0.7438  11 Pm 3.50-3.85
3 Pm 0.0440 0.0440 0.2366  1 Pm 3.16, 1 Ac 3.50
4 Pm 0.1097 0.6415 0.2675  4 Pm 3.36-3.68, 1 Pr 3.56, 1 Ac 3.69
5 Pm 0.3226 0.3226 0.7735  4 Pm 3.53-3.68, 4 Ac 3.54-3.68, 1 Pr 3.73
6 Pm 0.3585 0.8903 0.7325  4 Pm 3.36-3.68, 1 Pr 3.56, 1 Ac 3.69
7 Pm 0.6415 0.1097 0.2675  4 Pm 3.36-3.68, 1 Pr 3.56, 1 Ac 3.69
8 Pm 0.6774 0.6774 0.2265  4 Pm 3.53-3.68, 4 Ac 3.54-3.68, 1 Pr 3.73
9 Pm 0.8903 0.3585 0.7325  4 Pm 3.36-3.68, 1 Pr 3.56, 1 Ac 3.69
10 Pm 0.9560 0.9560 0.7634  1 Pm 3.16, 1 Ac 3.50
11 Pr 0.5000 0.5000 0.0000  10 Pm 3.56-3.92

- Energy of formation from the pure elements: 17.39 kJ per mole of atoms
- Polymorph energy (0 for the lowest one): 38 meV per atom


7.
A relaxed PmTmMg2 crystal, computed with PBE-GGA.

Cell lengths 5.3466, 5.3466, 3.8556 Å; angles 90.00, 90.00, 90.00 degrees
Closest atoms and distances in Å follow each position.
Element x y z (fractional)
1 Pm 0.0000 0.0000 0.0000  8 Mg 3.30
2 Tm 0.5000 0.5000 0.0000  8 Mg 3.30
3 Mg 0.0000 0.5000 0.5000  4 Pm 3.30, 4 Tm 3.30
4 Mg 0.5000 0.0000 0.5000  4 Pm 3.30, 4 Tm 3.30

- Energy of formation from the pure elements: -7.76 kJ per mole of atoms
- Polymorph energy (0 for the lowest one): 8 meV per atom


8.
A relaxed K4YTh3S8 crystal, computed with PBE-GGA.

Cell lengths 8.8508, 8.8508, 8.8508 Å; angles 55.02, 55.02, 55.02 degrees
Closest atoms and distances in Å follow each position.
Element x y z (fractional)
1 K 0.0000 0.0000 0.0000  6 S 3.23
2 K 0.0000 0.5000 0.5000  6 S 3.18-3.20
3 K 0.5000 0.0000 0.5000  6 S 3.18-3.20
4 K 0.5000 0.5000 0.0000  6 S 3.18-3.20
5 Y 0.5000 0.5000 0.5000  6 S 2.81
6 Th 0.0000 0.0000 0.5000  6 S 2.85-2.86
7 Th 0.0000 0.5000 0.0000  6 S 2.85-2.86
8 Th 0.5000 0.0000 0.0000  6 S 2.85-2.86
9 S 0.2387 0.2387 0.2387  3 Th 2.86, 3 K 3.18
10 S 0.2409 0.7345 0.7345  1 Y 2.81, 2 Th 2.85
11 S 0.2655 0.2655 0.7591  1 Y 2.81, 2 Th 2.85
12 S 0.2655 0.7591 0.2655  1 Y 2.81, 2 Th 2.85
13 S 0.7345 0.2409 0.7345  1 Y 2.81, 2 Th 2.85
14 S 0.7345 0.7345 0.2409  1 Y 2.81, 2 Th 2.85
15 S 0.7591 0.2655 0.2655  1 Y 2.81, 2 Th 2.85
16 S 0.7613 0.7613 0.7613  3 Th 2.86, 3 K 3.18

- Energy: -5.8566 eV per atom


9.
A relaxed Dy3PSe6 crystal, computed with PBE-GGA.

Cell lengths 8.7517, 8.7517, 7.2891 Å; angles 90.00, 90.00, 102.06 degrees
Closest atoms and distances in Å follow each position.
Element x y z (fractional)
1 Dy 0.1011 0.8989 0.5000  7 Se 2.93-2.98
2 Dy 0.2171 0.4133 0.4288  7 Se 2.81-3.14
3 Dy 0.4133 0.2171 0.9288  7 Se 2.81-3.14
4 Dy 0.5867 0.7829 0.4288  7 Se 2.81-3.14
5 Dy 0.7829 0.5867 0.9288  7 Se 2.81-3.14
6 Dy 0.8989 0.1011 0.0000  7 Se 2.93-2.98
7 P 0.3070 0.6930 0.8426  3 Se 2.32-2.39
8 P 0.6930 0.3070 0.3426  3 Se 2.32-2.39
9 Se 0.0702 0.5957 0.6985  1 P 2.32
10 Se 0.1358 0.1884 0.7144  4 Dy 2.85-2.94
11 Se 0.1884 0.1358 0.2144  4 Dy 2.85-2.94
12 Se 0.2829 0.7171 0.2826  3 Dy 2.81-2.94
13 Se 0.4043 0.9298 0.6985  1 P 2.32
14 Se 0.4675 0.5325 0.7090  1 P 2.39
15 Se 0.5325 0.4675 0.2090  1 P 2.39
16 Se 0.5957 0.0702 0.1985  1 P 2.32
17 Se 0.7171 0.2829 0.7826  3 Dy 2.81-2.94
18 Se 0.8116 0.8642 0.7144  4 Dy 2.85-2.94
19 Se 0.8642 0.8116 0.2144  4 Dy 2.85-2.94
20 Se 0.9298 0.4043 0.1985  1 P 2.32

- Energy: -5.3586 eV per atom


10.
A relaxed Ca4U3AgAs8 crystal, computed with PBE-GGA.

Cell lengths 8.3630, 8.3630, 8.3630 Å; angles 58.98, 58.98, 58.98 degrees
Closest atoms and distances in Å follow each position.
Element x y z (fractional)
1 Ca 0.0000 0.0000 0.0000  6 As 2.97
2 Ca 0.0000 0.5000 0.5000  6 As 3.01-3.05
3 Ca 0.5000 0.0000 0.5000  6 As 3.01-3.05
4 Ca 0.5000 0.5000 0.0000  6 As 3.01-3.05
5 U 0.0000 0.0000 0.5000  6 As 2.82-2.86
6 U 0.0000 0.5000 0.0000  6 As 2.82-2.86
7 U 0.5000 0.0000 0.0000  6 As 2.82-2.86
8 Ag 0.5000 0.5000 0.5000  6 As 2.90
9 As 0.2333 0.7474 0.7474  2 U 2.82, 1 Ag 2.90, 3 Ca 2.97-3.05
10 As 0.2440 0.2440 0.2440  3 U 2.86, 3 Ca 3.01
11 As 0.2526 0.2526 0.7667  2 U 2.82, 1 Ag 2.90, 3 Ca 2.97-3.05
12 As 0.2526 0.7667 0.2526  2 U 2.82, 1 Ag 2.90, 3 Ca 2.97-3.05
13 As 0.7474 0.2333 0.7474  2 U 2.82, 1 Ag 2.90, 3 Ca 2.97-3.05
14 As 0.7474 0.7474 0.2333  2 U 2.82, 1 Ag 2.90, 3 Ca 2.97-3.05
15 As 0.7560 0.7560 0.7560  3 U 2.86, 3 Ca 3.01
16 As 0.7667 0.2526 0.2526  2 U 2.82, 1 Ag 2.90, 3 Ca 2.97-3.05

- Energy of formation from the pure elements: -77.33 kJ per mole of atoms


11.
A relaxed CaDyY crystal, computed with PBE-GGA.

Cell lengths 8.5495, 8.5495, 8.5495 Å; angles 39.21, 39.21, 39.21 degrees
Closest atoms and distances in Å follow each position.
Element x y z (fractional)
1 Ca 0.1335 0.1335 0.1335  3 Y 3.40, 3 Ca 3.67, 1 Dy 3.81
2 Ca 0.8665 0.8665 0.8665  3 Y 3.40, 3 Ca 3.67, 1 Dy 3.81
3 Dy 0.2945 0.2945 0.2945  4 Y 3.31-3.62
4 Dy 0.7055 0.7055 0.7055  4 Y 3.31-3.62
5 Y 0.4345 0.4345 0.4345  1 Y 3.10, 1 Dy 3.31, 3 Ca 3.40
6 Y 0.5655 0.5655 0.5655  1 Y 3.10, 1 Dy 3.31, 3 Ca 3.40

- Energy of formation from the pure elements: 41.18 kJ per mole of atoms
- Polymorph energy (0 for the lowest one): 359 meV per atom


12.
A relaxed KBe2TlF8 crystal, computed with PBE-GGA.

Cell lengths 4.9659, 4.9659, 8.1599 Å; angles 92.77, 92.77, 67.32 degrees
Closest atoms and distances in Å follow each position.
Element x y z (fractional)
1 K 0.0000 0.0000 0.0000  6 F 2.70-2.82
2 Be 0.3749 0.3749 0.7208  4 F 1.48-1.60
3 Be 0.6251 0.6251 0.2792  4 F 1.48-1.60
4 Tl 0.0000 0.0000 0.5000  6 F 2.18-2.21
5 F 0.2498 0.7216 0.7028  1 Be 1.60
6 F 0.2613 0.2613 0.5553  1 Be 1.60
7 F 0.2784 0.7502 0.2972  1 Be 1.60
8 F 0.2975 0.2975 0.8804  1 Be 1.48
9 F 0.7025 0.7025 0.1196  1 Be 1.48
10 F 0.7216 0.2498 0.7028  1 Be 1.60
11 F 0.7387 0.7387 0.4447  1 Be 1.60
12 F 0.7502 0.2784 0.2972  1 Be 1.60

- Energy: -4.8777 eV per atom


13.
A relaxed Na2Tl3TcSe6 crystal, computed with PBE-GGA.

Cell lengths 7.3034, 7.3034, 7.2423 Å; angles 99.80, 99.80, 120.41 degrees
Closest atoms and distances in Å follow each position.
Element x y z (fractional)
1 Na 0.1700 0.8300 0.0000  6 Se 2.98-3.06
2 Na 0.8300 0.1700 0.0000  6 Se 2.98-3.06
3 Tl 0.0000 0.0000 0.5000  4 Se 2.95
4 Tl 0.3472 0.6528 0.5000  4 Se 2.92-2.94
5 Tl 0.6528 0.3472 0.5000  4 Se 2.92-2.94
6 Tc 0.5000 0.5000 0.0000  6 Se 2.53-2.58
7 Se 0.1470 0.4271 0.7784  1 Tc 2.53
8 Se 0.2755 0.2755 0.2088  1 Tc 2.58
9 Se 0.4271 0.1470 0.7784  1 Tc 2.53
10 Se 0.5729 0.8530 0.2216  1 Tc 2.53
11 Se 0.7245 0.7245 0.7912  1 Tc 2.58
12 Se 0.8530 0.5729 0.2216  1 Tc 2.53

- Energy: -3.8677 eV per atom


14.
A relaxed MnSbTe2Pd crystal, computed with PBE-GGA.

Cell lengths 5.0135, 5.0135, 4.8560 Å; angles 90.00, 90.00, 90.00 degrees
Closest atoms and distances in Å follow each position.
Element x y z (fractional)
1 Mn 0.0000 0.0000 0.0000  2 Sb 2.43, 4 Te 2.51
2 Sb 0.0000 0.0000 0.5000  2 Mn 2.43
3 Te 0.0000 0.5000 0.0000  2 Mn 2.51
4 Te 0.5000 0.0000 0.0000  2 Mn 2.51
5 Pd 0.5000 0.5000 0.5000  8 Te 3.49, 4 Sb 3.55

- Polymorph energy (0 for the lowest one): 0 meV per atom


15.
A relaxed Dy4GaHgAu2 crystal, computed with PBE-GGA.

Cell lengths 8.8947, 8.8947, 8.8947 Å; angles 33.55, 33.55, 33.55 degrees
Closest atoms and distances in Å follow each position.
Element x y z (fractional)
1 Dy 0.1229 0.1229 0.1229  1 Ga 3.09, 4 Au 3.12-3.19, 3 Hg 3.16
2 Dy 0.3728 0.3728 0.3728  4 Au 3.10-3.17, 3 Ga 3.13, 1 Hg 3.20
3 Dy 0.6272 0.6272 0.6272  4 Au 3.10-3.17, 3 Ga 3.13, 1 Hg 3.20
4 Dy 0.8771 0.8771 0.8771  1 Ga 3.09, 4 Au 3.12-3.19, 3 Hg 3.16
5 Ga 0.0000 0.0000 0.0000  8 Dy 3.09-3.13
6 Hg 0.5000 0.5000 0.5000  8 Dy 3.16-3.20
7 Au 0.2497 0.2497 0.2497  8 Dy 3.10-3.19
8 Au 0.7503 0.7503 0.7503  8 Dy 3.10-3.19

- Energy of formation from the pure elements: -65.48 kJ per mole of atoms


16.
A relaxed P3RuS crystal, computed with PBE-GGA.

Cell lengths 4.2774, 4.2774, 4.2774 Å; angles 90.00, 90.00, 90.00 degrees
Closest atoms and distances in Å follow each position.
Element x y z (fractional)
1 P 0.0000 0.0000 0.5000  2 S 2.14
2 P 0.0000 0.5000 0.0000  2 S 2.14
3 P 0.5000 0.0000 0.0000  2 S 2.14
4 Ru 0.5000 0.5000 0.5000  12 P 3.02
5 S 0.0000 0.0000 0.0000  6 P 2.14

- Polymorph energy (0 for the lowest one): 405 meV per atom


17.
A relaxed Ba2Mg6Pb3 crystal, computed with PBE-GGA.

Cell lengths 8.9457, 8.9457, 4.9092 Å; angles 90.00, 90.00, 120.00 degrees
Closest atoms and distances in Å follow each position.
Element x y z (fractional)
1 Ba 0.3333 0.6667 0.0000  6 Pb 3.72, 9 Mg 3.77-4.08
2 Ba 0.6667 0.3333 0.0000  6 Pb 3.72, 9 Mg 3.77-4.08
3 Mg 0.0000 0.1936 0.0000  2 Pb 2.96, 6 Mg 3.00-3.30
4 Mg 0.0000 0.7228 0.5000  3 Pb 3.04-3.07, 4 Mg 3.30
5 Mg 0.1936 0.0000 0.0000  2 Pb 2.96, 6 Mg 3.00-3.30
6 Mg 0.2772 0.2772 0.5000  3 Pb 3.04-3.07, 4 Mg 3.30
7 Mg 0.7228 0.0000 0.5000  3 Pb 3.04-3.07, 4 Mg 3.30
8 Mg 0.8064 0.8064 0.0000  2 Pb 2.96, 6 Mg 3.00-3.30
9 Pb 0.0000 0.3793 0.5000  5 Mg 2.96-3.07
10 Pb 0.3793 0.0000 0.5000  5 Mg 2.96-3.07
11 Pb 0.6207 0.6207 0.5000  5 Mg 2.96-3.07

- Energy of formation from the pure elements: -26.25 kJ per mole of atoms


18.
A relaxed ErAl2Hg crystal, computed with PBE-GGA.

Cell lengths 5.7411, 5.7411, 5.7411 Å; angles 45.40, 45.40, 45.40 degrees
Closest atoms and distances in Å follow each position.
Element x y z (fractional)
1 Er 0.0000 0.0000 0.0000  8 Al 3.08-3.42
2 Al 0.2215 0.2215 0.2215  3 Hg 2.69
3 Al 0.7785 0.7785 0.7785  3 Hg 2.69
4 Hg 0.5000 0.5000 0.5000  6 Al 2.69

- Energy of formation from the pure elements: -14.99 kJ per mole of atoms
- Polymorph energy (0 for the lowest one): 177 meV per atom


19.
A relaxed Al2AgGeBr crystal, computed with PBE-GGA.

Cell lengths 5.3188, 5.3188, 5.1908 Å; angles 90.00, 90.00, 90.00 degrees
Closest atoms and distances in Å follow each position.
Element x y z (fractional)
1 Al 0.0000 0.5000 0.0000  2 Br 2.66
2 Al 0.5000 0.0000 0.0000  2 Br 2.66
3 Ag 0.0000 0.0000 0.5000  8 Al 3.72, 4 Ge 3.76
4 Ge 0.5000 0.5000 0.5000  2 Br 2.60
5 Br 0.5000 0.5000 0.0000  2 Ge 2.60, 4 Al 2.66

- Energy: -2.3738 eV per atom


20.
A relaxed Cr2CoHg crystal, computed with PBE-GGA.

Cell lengths 4.7792, 4.7792, 4.7792 Å; angles 134.87, 134.62, 65.93 degrees
Closest atoms and distances in Å follow each position.
Element x y z (fractional)
1 Cr 0.2503 0.2503 0.0000  4 Cr 2.60, 4 Co 2.72-2.73, 4 Hg 2.72
2 Cr 0.7497 0.7497 0.0000  4 Cr 2.60, 4 Co 2.72-2.73, 4 Hg 2.72
3 Co 0.5000 0.0000 0.5000  4 Hg 2.60, 8 Cr 2.72-2.73
4 Hg 0.0000 0.5000 0.5000  4 Co 2.60, 8 Cr 2.72

- Energy of formation from the pure elements: 55.63 kJ per mole of atoms